Record 1
# KSrW, relaxed, DFT PBE
data_KSrW
_symmetry_space_group_name_H-M 'P 1'
_symmetry_Int_Tables_number 1
_cell_length_a 5.824
_cell_length_b 5.824
_cell_length_c 2.870
_cell_angle_alpha 90.00
_cell_angle_beta 90.00
_cell_angle_gamma 120.00
loop_
_symmetry_equiv_pos_as_xyz
'x,y,z'
loop_
_atom_site_label
_atom_site_type_symbol
_atom_site_fract_x
_atom_site_fract_y
_atom_site_fract_z
Sr1 Sr 0.667 0.333 0.165
K1 K 0.000 0.000 0.169
W1 W 0.333 0.667 0.666
# magnetization	1.12	μB/f.u.
# offset from the most stable computed form	0.63	eV per formula unit
# space-group type	P3m1
# energy of formation	4.76	eV per formula unit

Record 2
# K2SrW, relaxed, DFT PBE
data_K2SrW
_symmetry_space_group_name_H-M 'P 1'
_symmetry_Int_Tables_number 1
_cell_length_a 13.855
_cell_length_b 13.855
_cell_length_c 13.855
_cell_angle_alpha 13.85
_cell_angle_beta 13.85
_cell_angle_gamma 13.85
loop_
_symmetry_equiv_pos_as_xyz
'x,y,z'
loop_
_atom_site_label
_atom_site_type_symbol
_atom_site_fract_x
_atom_site_fract_y
_atom_site_fract_z
K1 K 0.488 0.488 0.488
Sr1 Sr 0.250 0.250 0.250
W1 W 0.750 0.750 0.750
K2 K 0.012 0.012 0.012
# magnetization	1.73	μB/f.u.
# offset from the most stable computed form	1.28	eV per formula unit
# space-group type	R-3m
# energy of formation	6.04	eV per formula unit

Record 3
# KSr3W, relaxed, DFT PBE
data_KSr3W
_symmetry_space_group_name_H-M 'P 1'
_symmetry_Int_Tables_number 1
_cell_length_a 6.097
_cell_length_b 6.097
_cell_length_c 6.097
_cell_angle_alpha 90.00
_cell_angle_beta 90.00
_cell_angle_gamma 90.00
loop_
_symmetry_equiv_pos_as_xyz
'x,y,z'
loop_
_atom_site_label
_atom_site_type_symbol
_atom_site_fract_x
_atom_site_fract_y
_atom_site_fract_z
Sr1 Sr 0.000 0.000 0.500
W1 W 0.000 0.000 0.000
K1 K 0.500 0.500 0.500
Sr2 Sr 0.000 0.500 0.000
Sr3 Sr 0.500 0.000 0.000
# magnetization	0.00	μB/f.u.
# offset from the most stable computed form	0.00	eV per formula unit
# space-group type	Pm-3m
# energy of formation	4.44	eV per formula unit

Record 4
# KSrW, relaxed, DFT PBE
data_KSrW
_symmetry_space_group_name_H-M 'P 1'
_symmetry_Int_Tables_number 1
_cell_length_a 5.788
_cell_length_b 5.788
_cell_length_c 5.788
_cell_angle_alpha 60.00
_cell_angle_beta 60.00
_cell_angle_gamma 60.00
loop_
_symmetry_equiv_pos_as_xyz
'x,y,z'
loop_
_atom_site_label
_atom_site_type_symbol
_atom_site_fract_x
_atom_site_fract_y
_atom_site_fract_z
Sr1 Sr 0.500 0.500 0.500
K1 K 0.000 0.000 0.000
W1 W 0.750 0.750 0.750
# magnetization	4.93	μB/f.u.
# offset from the most stable computed form	1.52	eV per formula unit
# space-group type	F-43m
# energy of formation	5.66	eV per formula unit